Compound: LiTb2WO6
Source: Alexandria
Functional: PBE+U
Structure: relaxed

Cell: 5.5742 5.6011 5.8531 Å, 117.67 90.80 119.81°
With the nearest neighbours (Å) after each atom.
Space group P1 (No. 1)
Asymmetric unit:
1 Li 0.0000 0.0000 0.0000  3 O 2.05-2.08
2 Tb 0.2675 0.5293 0.7880  6 O 2.23-2.42
3 Tb 0.7589 0.5250 0.3006  6 O 2.23-2.43
4 W 0.4682 0.9443 0.4169  6 O 1.93-2.09
5 O 0.1135 0.7905 0.1539  1 W 2.00, 1 Li 2.07
6 O 0.2034 0.7963 0.6233  1 W 2.02
7 O 0.3518 0.4696 0.1511  1 Li 2.05, 1 W 2.08, 1 Tb 2.24
8 O 0.5785 0.4104 0.6219  1 W 2.03, 1 Tb 2.23
9 O 0.6693 0.0320 0.1396  1 Li 2.08, 1 W 2.09, 2 Tb 2.23-2.32
10 O 0.8163 0.0389 0.6130  1 W 1.93

Total moment in μB/f.u.: 1.000
Final energy in eV/atom: -7.617